ZnAg2Ir | PBE-GGA | optimized geometry Values from VASP.

Results
* energy of formation: 0.19 eV per atom
* DOS at the Fermi energy: 2.35 states/eV per cell
* VASP energy: -15.1 eV for the cell shown

The structure in Quantum ESPRESSO input format:
```
&SYSTEM
  ibrav = 0, nat = 4, ntyp = 3
/
ATOMIC_SPECIES
Ag 107.87 Ag.upf
Ir 192.22 Ir.upf
Zn 65.41 Zn.upf
CELL_PARAMETERS angstrom
5.367 0.004 0.004
2.492 4.753 -0.004
-3.325 -3.378 2.518
ATOMIC_POSITIONS angstrom
Ag 0.101 0.061 0.000
Ag 2.962 -0.512 1.261
Ir 3.794 2.297 0.000
Zn 1.605 1.911 1.257
```